# 1
# La3RhCl2, relaxed, DFT PBE
data_La3RhCl2
_chemical_formula_sum 'La6 Rh2 Cl4'
_cell_length_a 4.047
_cell_length_b 6.131
_cell_length_c 13.390
_cell_angle_alpha 90.00
_cell_angle_beta 90.00
_cell_angle_gamma 90.00
_symmetry_space_group_name_H-M 'I m m m'
_symmetry_Int_Tables_number 71
_symmetry_space_group_name_Hall '-I 2 2'
loop_
_atom_site_label
_atom_site_type_symbol
_atom_site_fract_x
_atom_site_fract_y
_atom_site_fract_z
La1 La 0.000 0.000 0.000
La2 La 0.000 0.000 0.356
Rh1 Rh 0.000 0.500 0.000
Cl1 Cl 0.000 0.500 0.328
# - Energy relative to the elements, uncorrected: -1.336 eV/atom
# - Electronic total energy: -67.68 eV/cell

# 2
# NaTlSi2, relaxed, DFT PBE
data_NaTlSi2
_chemical_formula_sum 'Na4 Tl4 Si8'
_cell_length_a 7.072
_cell_length_b 7.072
_cell_length_c 7.072
_cell_angle_alpha 90.00
_cell_angle_beta 90.00
_cell_angle_gamma 90.00
_symmetry_space_group_name_H-M 'F m -3 m'
_symmetry_Int_Tables_number 225
_symmetry_space_group_name_Hall '-F 4 2 3'
loop_
_atom_site_label
_atom_site_type_symbol
_atom_site_fract_x
_atom_site_fract_y
_atom_site_fract_z
Na1 Na 0.000 0.000 0.000
Tl1 Tl 0.000 0.000 0.500
Si1 Si 0.250 0.250 0.250
# - Energy relative to the elements, uncorrected: 0.567 eV/atom
# - Electronic total energy: -49.05 eV/cell

# 3
# RbCeCuF6, relaxed, DFT PBE
data_RbCeCuF6
_chemical_formula_sum 'Rb2 Ce2 Cu2 F12'
_cell_length_a 5.8597
_cell_length_b 5.8597
_cell_length_c 12.0746
_cell_angle_alpha 90.00
_cell_angle_beta 90.00
_cell_angle_gamma 120.00
_symmetry_space_group_name_H-M 'P -3 1 c'
_symmetry_Int_Tables_number 163
_symmetry_space_group_name_Hall '-P 3 2c'
loop_
_atom_site_label
_atom_site_type_symbol
_atom_site_fract_x
_atom_site_fract_y
_atom_site_fract_z
Rb1 Rb 0.0000 0.0000 0.0000
Ce1 Ce 0.3333 0.6667 0.2500
Cu1 Cu 0.3333 0.6667 0.7500
F1 F 0.0064 0.3772 0.6503
# - Energy relative to the elements, uncorrected: -2.942 eV/atom
# - Electronic total energy: -97.40 eV/cell

# 4
# RbTlCdCl6, relaxed, DFT PBE
data_RbTlCdCl6
_chemical_formula_sum 'Rb1 Tl1 Cd1 Cl6'
_cell_length_a 6.9018
_cell_length_b 6.9018
_cell_length_c 7.2906
_cell_angle_alpha 90.00
_cell_angle_beta 90.00
_cell_angle_gamma 120.00
_symmetry_space_group_name_H-M 'P 3 1 2'
_symmetry_Int_Tables_number 149
loop_
_symmetry_equiv_pos_as_xyz
'x,y,z'
'-y,x-y,z'
'-x+y,-x,z'
'-y,-x,-z'
'-x+y,y,-z'
'x,x-y,-z'
loop_
_atom_site_label
_atom_site_type_symbol
_atom_site_fract_x
_atom_site_fract_y
_atom_site_fract_z
Rb1 Rb 0.0000 0.0000 0.0000
Tl1 Tl 0.6667 0.3333 0.5000
Cd1 Cd 0.3333 0.6667 0.5000
Cl1 Cl 0.3773 0.0027 0.7098
# - Energy relative to the elements, uncorrected: -1.131 eV/atom
# - Electronic total energy: -25.51 eV/cell

# 5
# Tb2Er5Th5, relaxed, DFT PBE
data_Tb2Er5Th5
_chemical_formula_sum 'Tb4 Er10 Th10'
_cell_length_a 15.030
_cell_length_b 5.016
_cell_length_c 11.250
_cell_angle_alpha 90.00
_cell_angle_beta 116.48
_cell_angle_gamma 90.00
_symmetry_space_group_name_H-M 'C 1 2/m 1'
_symmetry_Int_Tables_number 12
loop_
_symmetry_equiv_pos_as_xyz
'x,y,z'
'-x,-y,-z'
'-x,y,-z'
'x,-y,z'
'x+1/2,y+1/2,z'
'-x+1/2,-y+1/2,-z'
'-x+1/2,y+1/2,-z'
'x+1/2,-y+1/2,z'
loop_
_atom_site_label
_atom_site_type_symbol
_atom_site_fract_x
_atom_site_fract_y
_atom_site_fract_z
Tb1 Tb 0.083 0.000 0.250
Er1 Er 0.000 0.500 0.000
Er2 Er 0.084 0.500 0.748
Er3 Er 0.168 0.500 0.504
Th1 Th 0.000 0.000 0.500
Th2 Th 0.169 0.000 0.002
Th3 Th 0.250 0.000 0.752
# - ΔE_f: 0.0429 eV per atom
# - Electronic total energy: -137.32 eV/cell

# 6
# AlOs2PbO8, relaxed, DFT PBE
data_AlOs2PbO8
_chemical_formula_sum 'Al1 Os2 Pb1 O8'
_cell_length_a 5.4537
_cell_length_b 5.4537
_cell_length_c 6.9929
_cell_angle_alpha 90.00
_cell_angle_beta 90.00
_cell_angle_gamma 120.00
_symmetry_space_group_name_H-M 'P -3'
_symmetry_Int_Tables_number 147
loop_
_symmetry_equiv_pos_as_xyz
'x,y,z'
'-x,-y,-z'
'-y,x-y,z'
'y,-x+y,-z'
'-x+y,-x,z'
'x-y,x,-z'
loop_
_atom_site_label
_atom_site_type_symbol
_atom_site_fract_x
_atom_site_fract_y
_atom_site_fract_z
Al1 Al 0.0000 0.0000 0.0000
Os1 Os 0.3333 0.6667 0.2111
Pb1 Pb 0.0000 0.0000 0.5000
O1 O 0.0553 0.2983 0.1684
O2 O 0.3333 0.6667 0.4697
# - Energy relative to the elements, uncorrected: -1.136 eV/atom
# - Electronic total energy: -83.21 eV/cell

# 7
# MnSb5, relaxed, DFT PBE
data_MnSb5
_chemical_formula_sum 'Mn4 Sb20'
_cell_length_a 8.785
_cell_length_b 8.785
_cell_length_c 8.785
_cell_angle_alpha 90.00
_cell_angle_beta 90.00
_cell_angle_gamma 90.00
_symmetry_space_group_name_H-M 'F -4 3 m'
_symmetry_Int_Tables_number 216
_symmetry_space_group_name_Hall 'F -4 2 3'
loop_
_atom_site_label
_atom_site_type_symbol
_atom_site_fract_x
_atom_site_fract_y
_atom_site_fract_z
Mn1 Mn 0.000 0.000 0.000
Sb1 Sb 0.125 0.125 0.375
Sb2 Sb 0.250 0.250 0.750
# - Energy relative to the elements, uncorrected: 0.602 eV/atom
# - Electronic total energy: -104.67 eV/cell

# 8
# Be2TlAs, relaxed, DFT PBE
data_Be2TlAs
_chemical_formula_sum 'Be8 Tl4 As4'
_cell_length_a 6.042
_cell_length_b 6.042
_cell_length_c 8.920
_cell_angle_alpha 90.00
_cell_angle_beta 90.00
_cell_angle_gamma 90.00
_symmetry_space_group_name_H-M 'I -4 2 d'
_symmetry_Int_Tables_number 122
_symmetry_space_group_name_Hall 'I -4 2bw'
loop_
_atom_site_label
_atom_site_type_symbol
_atom_site_fract_x
_atom_site_fract_y
_atom_site_fract_z
Be1 Be 0.181 0.250 0.125
Tl1 Tl 0.000 0.000 0.500
As1 As 0.000 0.000 0.000
# - ΔE_f: 0.3542 eV per atom
# - Electronic total energy: -52.21 eV/cell